Record 1
A plane-wave DFT calculation with PBE was carried out for a relaxed KZr4BiC2 crystal.

Geometry as POSCAR:
```
KZr4BiC2
1.0
3.426 0.000 0.000
-1.713 2.967 0.000
0.000 0.000 16.858
K Zr Bi C
1 4 1 2
Direct
0.000 0.000 0.000
0.000 0.000 0.352
0.000 0.000 0.648
0.667 0.333 0.208
0.667 0.333 0.792
0.667 0.333 0.500
0.333 0.667 0.279
0.333 0.667 0.721
```

Computed properties:
As for the final energy: -60.81 eV per cell.

Record 2
A plane-wave DFT calculation with PBE was carried out for a relaxed RbHg3PtSe4 crystal.

Geometry as POSCAR:
```
RbHg3PtSe4
1.0
6.798 0.000 0.000
0.000 6.798 0.000
0.000 0.000 6.798
Rb Hg Pt Se
1 3 1 4
Direct
0.000 0.000 0.000
0.000 0.500 0.500
0.500 0.000 0.500
0.500 0.500 0.000
0.500 0.500 0.500
0.288 0.288 0.288
0.288 0.712 0.712
0.712 0.288 0.712
0.712 0.712 0.288
```

Computed properties:
As for the final energy: -22.74 eV per cell.

Record 3
A plane-wave DFT calculation with PBE was carried out for a relaxed TbAg6Sn crystal.

Geometry as POSCAR:
```
TbAg6Sn
1.0
4.987 0.000 0.000
0.000 5.999 0.000
0.000 0.000 5.257
Tb Ag Sn
1 6 1
Direct
0.000 0.000 0.000
0.000 0.257 0.500
0.000 0.500 0.014
0.000 0.743 0.500
0.500 0.000 0.658
0.500 0.253 0.185
0.500 0.747 0.185
0.500 0.500 0.696
```

Computed properties:
As for the final energy: -26.35 eV per cell.

Record 4
A plane-wave DFT calculation with PBE was carried out for a relaxed HfFeCoPb crystal.

Geometry as POSCAR:
```
HfFeCoPb
1.0
0.000 3.238 3.238
3.238 0.000 3.238
3.238 3.238 0.000
Hf Fe Co Pb
1 1 1 1
Direct
0.000 0.000 0.000
0.750 0.750 0.750
0.500 0.500 0.500
0.250 0.250 0.250
```

Computed properties:
The calculation puts the energy above the most stable polymorph in this dataset at 1.262 eV per formula unit. As for the final energy: -27.69 eV per cell.

Record 5
A plane-wave DFT calculation with PBE was carried out for a relaxed La2AlZn3Ni2 crystal.

Geometry as POSCAR:
```
La2AlZn3Ni2
1.0
4.867 -2.075 0.000
4.867 2.075 0.000
-0.023 0.000 7.455
La Al Zn Ni
2 1 3 2
Direct
0.000 0.000 0.000
0.114 0.114 0.492
0.396 0.396 0.693
0.398 0.398 0.302
0.712 0.712 0.806
0.717 0.717 0.196
0.280 0.280 0.994
0.843 0.843 0.509
```

Computed properties:
As for the final energy: -32.16 eV per cell.

Record 6
A plane-wave DFT calculation with PBE was carried out for a relaxed TlCuTe2IrSe crystal.

Geometry as POSCAR:
```
TlCuTe2IrSe
1.0
1.985 -7.546 0.000
1.985 7.546 0.000
0.000 0.000 9.899
Tl Cu Te Ir Se
2 2 4 2 2
Direct
0.247 0.753 0.750
0.753 0.247 0.250
0.475 0.525 0.250
0.525 0.475 0.750
0.380 0.620 0.034
0.380 0.620 0.466
0.620 0.380 0.534
0.620 0.380 0.966
0.000 0.000 0.000
0.000 0.000 0.500
0.066 0.934 0.250
0.934 0.066 0.750
```

Computed properties:
As for the final energy: -50.58 eV per cell.

Record 7
A plane-wave DFT calculation with PBE was carried out for a relaxed ZrCdInTe3 crystal.

Geometry as POSCAR:
```
ZrCdInTe3
1.0
4.118 0.000 0.000
0.000 11.164 0.000
-1.847 0.000 7.717
Zr Cd In Te
2 2 2 6
Direct
0.000 0.000 0.000
0.000 0.500 0.000
0.489 0.250 0.913
0.511 0.750 0.087
0.215 0.750 0.480
0.785 0.250 0.520
0.099 0.250 0.169
0.370 0.035 0.724
0.370 0.465 0.724
0.630 0.535 0.276
0.630 0.965 0.276
0.901 0.750 0.831
```

Computed properties:
The calculation puts the energy above the most stable polymorph in this dataset at 0.017 eV per formula unit. As for the final energy: -48.48 eV per cell.

Record 8
A plane-wave DFT calculation with PBE was carried out for a relaxed HoTmMg6 crystal.

Geometry as POSCAR:
```
HoTmMg6
1.0
5.051 0.000 0.000
0.000 3.644 5.399
0.000 -3.644 5.399
Ho Tm Mg
1 1 6
Direct
0.000 0.000 0.000
0.500 0.742 0.742
0.000 0.054 0.487
0.000 0.487 0.054
0.000 0.541 0.541
0.500 0.202 0.202
0.500 0.256 0.688
0.500 0.688 0.256
```

Computed properties:
As for the final energy: -18.76 eV per cell.

Record 9
A plane-wave DFT calculation with PBE was carried out for a relaxed Tb2HoAl3AgIr2 crystal.

Geometry as POSCAR:
```
Tb2HoAl3AgIr2
1.0
4.149 0.000 0.000
0.000 6.091 3.537
0.000 -6.091 3.537
Tb Ho Al Ag Ir
2 1 3 1 2
Direct
0.000 0.211 0.789
0.000 0.789 0.211
0.000 0.632 0.632
0.500 0.211 0.464
0.500 0.464 0.211
0.500 0.959 0.959
0.000 0.213 0.213
0.500 0.546 0.875
0.500 0.875 0.546
```

Computed properties:
As for the final energy: -52.05 eV per cell.

Record 10
A plane-wave DFT calculation with PBE was carried out for a relaxed TaBeOs crystal.

Geometry as POSCAR:
```
TaBeOs
1.0
0.000 2.790 2.790
2.790 0.000 2.790
2.790 2.790 0.000
Ta Be Os
1 1 1
Direct
0.000 0.000 0.000
0.750 0.750 0.750
0.500 0.500 0.500
```

Computed properties:
The calculation puts the energy above the most stable polymorph in this dataset at 2.104 eV per formula unit. As for the final energy: -26.21 eV per cell.

Record 11
A plane-wave DFT calculation with PBE was carried out for a relaxed Ta2As3 crystal.

Geometry as POSCAR:
```
Ta2As3
1.0
6.866 -1.694 0.000
6.866 1.694 0.000
-1.791 0.000 8.465
Ta As
4 6
Direct
0.168 0.168 0.433
0.271 0.271 0.841
0.729 0.729 0.159
0.832 0.832 0.567
0.114 0.114 0.968
0.350 0.350 0.339
0.449 0.449 0.747
0.551 0.551 0.253
0.650 0.650 0.661
0.886 0.886 0.032
```

Computed properties:
As for the final energy: -77.38 eV per cell.

Record 12
A plane-wave DFT calculation with PBE was carried out for a relaxed NaYHgSe3 crystal.

Geometry as POSCAR:
```
NaYHgSe3
1.0
12.868 0.000 0.000
0.000 4.150 0.000
0.000 0.000 12.245
Na Y Hg Se
4 4 4 12
Direct
0.131 0.250 0.006
0.369 0.750 0.506
0.631 0.250 0.494
0.869 0.750 0.994
0.052 0.250 0.672
0.448 0.750 0.172
0.552 0.250 0.828
0.948 0.750 0.328
0.234 0.250 0.292
0.266 0.750 0.792
0.734 0.250 0.208
0.766 0.750 0.708
0.060 0.750 0.842
0.075 0.250 0.424
0.232 0.750 0.144
0.268 0.250 0.644
0.425 0.750 0.924
0.440 0.250 0.342
0.560 0.750 0.658
0.575 0.250 0.076
0.732 0.750 0.356
0.768 0.250 0.856
0.925 0.750 0.576
0.940 0.250 0.158
```

Computed properties:
The calculation puts the energy above the most stable polymorph in this dataset at 0.071 eV per formula unit. As for the final energy: -100.50 eV per cell.